First-principles (PBE-GGA) data for a relaxed structure of Na13Cd3, as listed in the Alexandria database.

- D(E_F) (states/eV per atom) = 0.45
- crystal system = orthorhombic
- ΔE_f (eV per atom) = -0.01

a b c (Å): 9.0403 10.6743 10.5997
angles (deg): 90.00 90.00 90.00
Space group Amm2 (No. 38)
Symmetry-distinct sites (fractional):
Na  0.0000  0.0000  0.0000 (multiplicity 2)
Na  0.0000  0.0000  0.4734 (multiplicity 2)
Na  0.0000  0.2357  0.2388 (multiplicity 4)
Na  0.2576  0.2407  0.9904 (multiplicity 8)
Na  0.2706  0.0000  0.7488 (multiplicity 4)
Na  0.5000  0.0000  0.4692 (multiplicity 2)
Na  0.5000  0.2282  0.2369 (multiplicity 4)
Cd  0.2490  0.0000  0.2277 (multiplicity 4)
Cd  0.5000  0.0000  0.0159 (multiplicity 2)